Ta2BeAl2, relaxed, DFT GGA-PBE; energy relative to the lowest polymorph listed for this composition = 0 meV/atom; N(E_F) = 3.22 states/eV/f.u.; spin magnetization = 0.00 μB per formula unit; DFT formation energy = 0.55 eV/f.u.; calculated volume = 15.667 A^3/atom
1.0
-5.376 2.490 1.805
-2.962 -3.211 -4.390
-0.547 -3.082 2.624
Be Al Ta
2 4 4
Cartesian
0.000 0.000 0.000 Be
-4.169 -0.361 -1.292 Be
-4.474 -1.865 -3.123 Al
-6.516 0.081 -1.263 Al
-3.863 1.143 0.538 Al
-1.821 -0.802 -1.322 Al
-3.132 -3.266 -1.310 Ta
-6.322 -2.566 -1.152 Ta
-5.752 -0.538 1.349 Ta
-2.562 -1.238 1.191 Ta

=====

AcPu2PdO8, relaxed, DFT GGA-PBE; N(E_F) = 11.31 states/eV/f.u.; total DFT energy (no corrections) = -8.685 eV per atom; spin magnetization = 3.01 μB per formula unit; calculated volume = 13.446 A^3/atom
1.0
5.516 0.000 0.000
0.000 5.516 0.000
-2.758 -2.758 5.304
Ac Pu Pd O
1 2 1 8
Cartesian
0.000 0.000 0.000 Ac
2.758 2.758 0.000 Pu
0.000 2.758 2.652 Pu
2.758 0.000 2.652 Pd
4.106 3.969 1.352 O
1.409 1.547 1.352 O
1.229 1.332 3.937 O
-1.229 -1.332 3.937 O
4.090 1.528 1.367 O
1.426 3.987 1.367 O
-1.211 1.348 3.952 O
1.211 -1.348 3.952 O